Below is an optimized crystal structure of Ta2PAu, with properties calculated at the PBE level.

Cell lengths 2.891, 2.891, 8.420 Å; angles 90.00, 90.00, 90.00 degrees
Fractional coordinates of all 4 atoms:
1 Ta 0.000 0.000 0.983
2 Ta 0.500 0.500 0.250
3 P 0.500 0.500 0.771
4 Au 0.000 0.000 0.496

Results
crystal system = tetragonal
raw total energy = -8.08 eV/atom
energy of formation = 0.018 eV per atom
total magnetization = 0.0 Bohr magnetons per cell